(1)
Density functional theory data (PBE) for a relaxed structure of MoWCl2.

Crystal system: trigonal
Excess energy over the best structure of this formula in the dataset: 948 meV/atom

a b c (Å): 11.107 11.107 11.107
angles (deg): 15.17 15.17 15.17
Fractional coordinates of all 4 atoms:
1 Mo 0.000 0.000 0.000
2 W 0.500 0.500 0.500
3 Cl 0.279 0.279 0.279
4 Cl 0.721 0.721 0.721



(2)
Density functional theory data (PBE) for a relaxed structure of ZnMo2WCl.

Crystal system: tetragonal
Total energy: -29.80 eV per formula unit

a b c (Å): 4.919 4.919 4.709
angles (deg): 90.00 90.00 90.00
Fractional coordinates of all 5 atoms:
1 Zn 0.000 0.000 0.000
2 Mo 0.000 0.500 0.500
3 Mo 0.500 0.000 0.500
4 W 0.500 0.500 0.500
5 Cl 0.500 0.500 0.000



(3)
Density functional theory data (PBE) for a relaxed structure of Y2MoCl.

Crystal system: monoclinic
Excess energy over the best structure of this formula in the dataset: 319 meV/atom

a b c (Å): 5.444 5.444 3.282
angles (deg): 102.91 102.91 87.98
Fractional coordinates of all 4 atoms:
1 Y 0.000 0.500 0.000
2 Y 0.500 0.000 0.000
3 Mo 0.000 0.000 0.500
4 Cl 0.500 0.500 0.500



(4)
Density functional theory data (PBE) for a relaxed structure of YMo2Cl.

Crystal system: orthorhombic
Excess energy over the best structure of this formula in the dataset: 878 meV/atom

a b c (Å): 2.950 2.950 9.184
angles (deg): 90.00 90.00 110.10
Fractional coordinates of all 4 atoms:
1 Y 0.000 0.000 0.000
2 Mo 0.500 0.500 0.273
3 Mo 0.500 0.500 0.727
4 Cl 0.000 0.000 0.500



(5)
Density functional theory data (PBE) for a relaxed structure of YMo4Cl.

Crystal system: cubic
Total energy: -47.85 eV per formula unit

a b c (Å): 5.442 5.442 5.442
angles (deg): 60.00 60.00 60.00
Fractional coordinates of all 6 atoms:
1 Y 0.000 0.000 0.000
2 Mo 0.376 0.376 0.376
3 Mo 0.376 0.376 0.872
4 Mo 0.376 0.872 0.376
5 Mo 0.872 0.376 0.376
6 Cl 0.750 0.750 0.750



(6)
Density functional theory data (PBE) for a relaxed structure of Y2MoCl.

Crystal system: tetragonal
Excess energy over the best structure of this formula in the dataset: 74 meV/atom

a b c (Å): 3.440 3.440 8.036
angles (deg): 90.00 90.00 90.00
Fractional coordinates of all 4 atoms:
1 Y 0.000 0.000 0.217
2 Y 0.000 0.000 0.783
3 Mo 0.500 0.500 0.000
4 Cl 0.500 0.500 0.500



(7)
Density functional theory data (PBE) for a relaxed structure of YMo2Cl.

Crystal system: tetragonal
Excess energy over the best structure of this formula in the dataset: 916 meV/atom

a b c (Å): 2.902 2.902 8.978
angles (deg): 90.00 90.00 90.00
Fractional coordinates of all 4 atoms:
1 Y 0.000 0.000 0.000
2 Mo 0.500 0.500 0.275
3 Mo 0.500 0.500 0.725
4 Cl 0.000 0.000 0.500



(8)
Density functional theory data (PBE) for a relaxed structure of YMoCl3.

Crystal system: cubic
Excess energy over the best structure of this formula in the dataset: 363 meV/atom

a b c (Å): 4.895 4.895 4.895
angles (deg): 90.00 90.00 90.00
Fractional coordinates of all 5 atoms:
1 Y 0.000 0.000 0.000
2 Mo 0.500 0.500 0.500
3 Cl 0.000 0.500 0.500
4 Cl 0.500 0.000 0.500
5 Cl 0.500 0.500 0.000



(9)
Density functional theory data (PBE) for a relaxed structure of Y2MoCl.

Crystal system: cubic
Excess energy over the best structure of this formula in the dataset: 1105 meV/atom

a b c (Å): 5.070 5.070 5.070
angles (deg): 60.00 60.00 60.00
Fractional coordinates of all 4 atoms:
1 Y 0.000 0.000 0.000
2 Y 0.250 0.250 0.250
3 Mo 0.750 0.750 0.750
4 Cl 0.500 0.500 0.500



(10)
Density functional theory data (PBE) for a relaxed structure of YMo2Cl.

Crystal system: orthorhombic
Excess energy over the best structure of this formula in the dataset: 0 meV/atom

a b c (Å): 3.204 7.799 7.799
angles (deg): 24.38 90.00 90.00
Fractional coordinates of all 4 atoms:
1 Y 0.000 0.000 0.000
2 Mo 0.000 0.219 0.219
3 Mo 0.500 0.635 0.635
4 Cl 0.500 0.369 0.369



(11)
Density functional theory data (PBE) for a relaxed structure of YMo2Cl.

Crystal system: orthorhombic
Excess energy over the best structure of this formula in the dataset: 197 meV/atom

a b c (Å): 3.142 3.142 9.076
angles (deg): 90.00 90.00 114.34
Fractional coordinates of all 4 atoms:
1 Y 0.000 0.000 0.000
2 Mo 0.000 0.000 0.463
3 Mo 0.500 0.500 0.268
4 Cl 0.500 0.500 0.768



(12)
Density functional theory data (PBE) for a relaxed structure of YMo2Cl.

Crystal system: trigonal
Excess energy over the best structure of this formula in the dataset: 114 meV/atom

a b c (Å): 9.051 9.051 9.051
angles (deg): 21.37 21.37 21.37
Fractional coordinates of all 4 atoms:
1 Y 0.000 0.000 0.000
2 Mo 0.240 0.240 0.240
3 Mo 0.515 0.515 0.515
4 Cl 0.742 0.742 0.742



(13)
Density functional theory data (PBE) for a relaxed structure of YMo2Cl.

Crystal system: orthorhombic
Excess energy over the best structure of this formula in the dataset: 670 meV/atom

a b c (Å): 3.263 4.958 5.343
angles (deg): 90.00 90.00 90.00
Fractional coordinates of all 4 atoms:
1 Y 0.000 0.000 0.000
2 Mo 0.500 0.500 0.205
3 Mo 0.500 0.500 0.795
4 Cl 0.000 0.000 0.500



(14)
Density functional theory data (PBE) for a relaxed structure of YMo2Cl.

Crystal system: tetragonal
Excess energy over the best structure of this formula in the dataset: 785 meV/atom

a b c (Å): 4.704 4.704 4.704
angles (deg): 118.82 118.82 92.06
Fractional coordinates of all 4 atoms:
1 Y 0.000 0.000 0.000
2 Mo 0.250 0.750 0.500
3 Mo 0.500 0.500 0.000
4 Cl 0.750 0.250 0.500



(15)
Density functional theory data (PBE) for a relaxed structure of Y2MoCl.

Crystal system: monoclinic
Excess energy over the best structure of this formula in the dataset: 0 meV/atom

a b c (Å): 3.618 3.392 8.213
angles (deg): 90.00 90.05 90.00
Fractional coordinates of all 4 atoms:
1 Y 0.000 0.000 0.211
2 Y 0.000 0.000 0.789
3 Mo 0.500 0.500 0.000
4 Cl 0.000 0.500 0.500



(16)
Density functional theory data (PBE) for a relaxed structure of Y2MoCl.

Crystal system: orthorhombic
Excess energy over the best structure of this formula in the dataset: 611 meV/atom

a b c (Å): 5.801 5.801 5.801
angles (deg): 144.18 113.59 77.82
Fractional coordinates of all 4 atoms:
1 Y 0.235 0.235 0.000
2 Y 0.765 0.765 0.000
3 Mo 0.500 0.000 0.500
4 Cl 0.000 0.500 0.500



(17)
Density functional theory data (PBE) for a relaxed structure of YMo2Cl.

Crystal system: tetragonal
Excess energy over the best structure of this formula in the dataset: 964 meV/atom

a b c (Å): 9.105 9.105 9.105
angles (deg): 150.72 150.72 41.89
Fractional coordinates of all 8 atoms:
1 Y 0.000 0.000 0.000
2 Y 0.750 0.250 0.500
3 Mo 0.293 0.625 0.168
4 Mo 0.375 0.543 0.668
5 Mo 0.457 0.125 0.832
6 Mo 0.875 0.707 0.332
7 Cl 0.250 0.750 0.500
8 Cl 0.500 0.500 0.000



(18)
Density functional theory data (PBE) for a relaxed structure of Y2MoCl.

Crystal system: tetragonal
Excess energy over the best structure of this formula in the dataset: 590 meV/atom

a b c (Å): 3.188 3.188 10.819
angles (deg): 90.00 90.00 90.00
Fractional coordinates of all 4 atoms:
1 Y 0.000 0.000 0.000
2 Y 0.500 0.500 0.288
3 Mo 0.500 0.500 0.807
4 Cl 0.000 0.000 0.441



(19)
Density functional theory data (PBE) for a relaxed structure of YMo3Cl.

Crystal system: cubic
Excess energy over the best structure of this formula in the dataset: 0 meV/atom

a b c (Å): 4.542 4.542 4.542
angles (deg): 90.00 90.00 90.00
Fractional coordinates of all 5 atoms:
1 Y 0.000 0.000 0.000
2 Mo 0.000 0.500 0.500
3 Mo 0.500 0.000 0.500
4 Mo 0.500 0.500 0.000
5 Cl 0.500 0.500 0.500



(20)
Density functional theory data (PBE) for a relaxed structure of YMo3Cl.

Crystal system: cubic
Excess energy over the best structure of this formula in the dataset: 2026 meV/atom

a b c (Å): 4.970 4.970 4.970
angles (deg): 90.00 90.00 90.00
Fractional coordinates of all 5 atoms:
1 Y 0.000 0.000 0.000
2 Mo 0.000 0.000 0.500
3 Mo 0.000 0.500 0.000
4 Mo 0.500 0.000 0.000
5 Cl 0.500 0.500 0.500



(21)
Density functional theory data (PBE) for a relaxed structure of Y2MoCl.

Crystal system: orthorhombic
Excess energy over the best structure of this formula in the dataset: 735 meV/atom

a b c (Å): 3.593 4.402 6.350
angles (deg): 90.00 90.00 90.00
Fractional coordinates of all 4 atoms:
1 Y 0.000 0.000 0.000
2 Y 0.500 0.000 0.500
3 Mo 0.000 0.500 0.500
4 Cl 0.500 0.500 0.000



(22)
Density functional theory data (PBE) for a relaxed structure of YMo2Cl.

Crystal system: cubic
Excess energy over the best structure of this formula in the dataset: 1416 meV/atom

a b c (Å): 4.697 4.697 4.697
angles (deg): 60.00 60.00 60.00
Fractional coordinates of all 4 atoms:
1 Y 0.000 0.000 0.000
2 Mo 0.250 0.250 0.250
3 Mo 0.750 0.750 0.750
4 Cl 0.500 0.500 0.500



(23)
Density functional theory data (PBE) for a relaxed structure of Y2MoCl2.

Crystal system: tetragonal
Excess energy over the best structure of this formula in the dataset: 80 meV/atom

a b c (Å): 8.043 8.043 3.299
angles (deg): 90.00 90.00 90.00
Fractional coordinates of all 10 atoms:
1 Y 0.181 0.319 0.000
2 Y 0.319 0.819 0.000
3 Y 0.681 0.181 0.000
4 Y 0.819 0.681 0.000
5 Mo 0.000 0.000 0.500
6 Mo 0.500 0.500 0.500
7 Cl 0.125 0.625 0.500
8 Cl 0.375 0.125 0.500
9 Cl 0.625 0.875 0.500
10 Cl 0.875 0.375 0.500



(24)
Density functional theory data (PBE) for a relaxed structure of YMoCl3.

Crystal system: cubic
Excess energy over the best structure of this formula in the dataset: 0 meV/atom

a b c (Å): 5.332 5.332 5.332
angles (deg): 90.00 90.00 90.00
Fractional coordinates of all 5 atoms:
1 Y 0.000 0.000 0.000
2 Mo 0.500 0.500 0.500
3 Cl 0.000 0.000 0.500
4 Cl 0.000 0.500 0.000
5 Cl 0.500 0.000 0.000



(25)
Density functional theory data (PBE) for a relaxed structure of YMo2Cl.

Crystal system: trigonal
Excess energy over the best structure of this formula in the dataset: 896 meV/atom

a b c (Å): 9.598 9.598 9.598
angles (deg): 18.11 18.11 18.11
Fractional coordinates of all 4 atoms:
1 Y 0.000 0.000 0.000
2 Mo 0.240 0.240 0.240
3 Mo 0.760 0.760 0.760
4 Cl 0.500 0.500 0.500



(26)
Density functional theory data (PBE) for a relaxed structure of Y2MoCl2.

Crystal system: tetragonal
Excess energy over the best structure of this formula in the dataset: 0 meV/atom

a b c (Å): 5.416 5.416 5.416
angles (deg): 119.99 119.99 90.02
Fractional coordinates of all 5 atoms:
1 Y 0.250 0.750 0.500
2 Y 0.750 0.250 0.500
3 Mo 0.000 0.000 0.000
4 Cl 0.311 0.311 0.000
5 Cl 0.689 0.689 0.000



(27)
Density functional theory data (PBE) for a relaxed structure of Y2MoCl.

Crystal system: tetragonal
Excess energy over the best structure of this formula in the dataset: 856 meV/atom

a b c (Å): 7.937 7.937 7.937
angles (deg): 135.17 135.17 65.26
Fractional coordinates of all 8 atoms:
1 Y 0.101 0.625 0.976
2 Y 0.375 0.351 0.476
3 Y 0.649 0.125 0.024
4 Y 0.875 0.899 0.524
5 Mo 0.000 0.000 0.000
6 Mo 0.750 0.250 0.500
7 Cl 0.250 0.750 0.500
8 Cl 0.500 0.500 0.000



(28)
Density functional theory data (PBE) for a relaxed structure of Y2MoCl.

Crystal system: orthorhombic
Excess energy over the best structure of this formula in the dataset: 271 meV/atom

a b c (Å): 3.379 4.786 5.748
angles (deg): 90.00 90.00 90.00
Fractional coordinates of all 4 atoms:
1 Y 0.000 0.000 0.000
2 Y 0.500 0.500 0.500
3 Mo 0.000 0.000 0.500
4 Cl 0.500 0.500 0.000



(29)
Density functional theory data (PBE) for a relaxed structure of Y2MoCl.

Crystal system: cubic
Excess energy over the best structure of this formula in the dataset: 641 meV/atom

a b c (Å): 5.052 5.052 5.052
angles (deg): 60.00 60.00 60.00
Fractional coordinates of all 4 atoms:
1 Y 0.250 0.250 0.250
2 Y 0.750 0.750 0.750
3 Mo 0.000 0.000 0.000
4 Cl 0.500 0.500 0.500